Material: Mg7Tl2GaBi2
Method: DFT, PBE
State: relaxed

Lattice parameters (Å, degrees): 4.8001 4.8001 14.8999 71.72 71.72 89.97
Last column: nearest neighbours and their distance in Å.
Positions (direct):
Tl1 0.1890 0.1890 0.3120  6 Mg 3.04-3.32, 3 Bi 3.39-3.40
Mg1 0.1389 0.6396 0.8573  2 Ga 3.06-3.07, 6 Mg 3.06-3.40, 2 Bi 3.18-3.22, 2 Tl 3.27-3.32
Ga1 0.0000 0.0000 0.0000  12 Mg 3.06-3.39
Bi1 0.2999 0.2999 0.6984  6 Mg 3.10-3.22, 4 Tl 3.39-3.40
Mg2 0.5000 0.5000 0.0000  8 Mg 3.06, 4 Ga 3.39
Mg3 0.8611 0.3604 0.1427  2 Ga 3.06-3.07, 6 Mg 3.06-3.40, 2 Bi 3.18-3.22, 2 Tl 3.27-3.32
Tl2 0.8110 0.8110 0.6880  6 Mg 3.04-3.32, 3 Bi 3.39-3.40
Mg4 0.3604 0.8611 0.1427  2 Ga 3.06-3.07, 6 Mg 3.06-3.40, 2 Bi 3.18-3.22, 2 Tl 3.27-3.32
Mg5 0.7404 0.7404 0.5006  2 Tl 3.04-3.10, 2 Bi 3.10-3.13, 3 Mg 3.27-3.40
Mg6 0.6396 0.1389 0.8573  2 Ga 3.06-3.07, 6 Mg 3.06-3.40, 2 Bi 3.18-3.22, 2 Tl 3.27-3.32
Mg7 0.2596 0.2596 0.4994  2 Tl 3.04-3.10, 2 Bi 3.10-3.13, 3 Mg 3.27-3.40
Bi2 0.7001 0.7001 0.3016  6 Mg 3.10-3.22, 4 Tl 3.39-3.40

VASP energy: -26.997 eV per cell
SG: C2/m (12)
V: 308 Å³ per cell
calculated formation energy: -26 meV/atom
size of the total moment: 0.0 μB/cell



Material: MgTlGaBi2
Method: DFT, PBE
State: relaxed

Lattice parameters (Å, degrees): 5.5522 5.6316 5.5522 90.00 90.00 90.00
Last column: nearest neighbours and their distance in Å.
Positions (direct):
Mg1 0.0000 0.0000 0.0000  4 Bi 2.78, 2 Tl 2.82
Tl1 0.0000 0.5000 0.0000  2 Mg 2.82
Bi1 0.5000 0.0000 0.0000  2 Mg 2.78
Bi2 0.0000 0.0000 0.5000  2 Mg 2.78
Ga1 0.5000 0.5000 0.5000  4 Tl 3.93, 8 Bi 3.95

VASP energy: -12.913 eV per cell
SG: P4/mmm (123)
V: 174 Å³ per cell
calculated formation energy: 367 meV/atom
size of the total moment: 0.0 μB/cell



Material: MgTl2GaBi
Method: DFT, PBE
State: relaxed

Lattice parameters (Å, degrees): 5.4983 5.1099 5.4983 90.00 90.00 90.00
Last column: nearest neighbours and their distance in Å.
Positions (direct):
Ga1 0.0000 0.0000 0.0000  2 Mg 2.55, 4 Tl 2.75
Tl1 0.0000 0.0000 0.5000  2 Ga 2.75
Mg1 0.0000 0.5000 0.0000  2 Ga 2.55
Tl2 0.5000 0.0000 0.0000  2 Ga 2.75
Bi1 0.5000 0.5000 0.5000  8 Tl 3.75, 4 Mg 3.89

VASP energy: -11.952 eV per cell
SG: P4/mmm (123)
V: 154 Å³ per cell
calculated formation energy: 257 meV/atom
size of the total moment: 0.0 μB/cell



Material: MgZnGaBi
Method: DFT, PBE
State: relaxed

Lattice parameters (Å, degrees): 5.0822 5.0822 5.0822 60.00 60.00 60.00
Last column: nearest neighbours and their distance in Å.
Positions (direct):
Bi1 0.7500 0.7500 0.7500  4 Zn 3.11, 4 Mg 3.11
Mg1 0.0000 0.0000 0.0000  4 Ga 3.11, 4 Bi 3.11
Ga1 0.2500 0.2500 0.2500  4 Mg 3.11, 4 Zn 3.11
Zn1 0.5000 0.5000 0.5000  4 Bi 3.11, 4 Ga 3.11

VASP energy: -9.542 eV per cell
SG: F-43m (216)
V: 93 Å³ per cell
calculated formation energy: 59 meV/atom
size of the total moment: 0.0 μB/cell



Material: Mg2ZrGaBi
Method: DFT, PBE
State: relaxed

Lattice parameters (Å, degrees): 5.2805 5.5537 5.2805 90.00 90.00 90.00
Last column: nearest neighbours and their distance in Å.
Positions (direct):
Bi1 0.0000 0.0000 0.0000  4 Mg 2.64, 2 Ga 2.78
Mg1 0.0000 0.0000 0.5000  2 Bi 2.64
Zr1 0.5000 0.5000 0.5000  4 Ga 3.73, 8 Mg 3.83
Mg2 0.5000 0.0000 0.0000  2 Bi 2.64
Ga1 0.0000 0.5000 0.0000  2 Bi 2.78

VASP energy: -13.859 eV per cell
SG: P4/mmm (123)
V: 155 Å³ per cell
calculated formation energy: 957 meV/atom
size of the total moment: 1.2 μB/cell